TbAl | Alexandria | GGA-PBEsol | relaxed; magnetization = 0.00 μB/cell; crystal system = cubic; calculated formation energy = -0.403 eV per atom
1.0
-1.799 -2.662 1.553
0.376 -1.974 -2.949
3.059 -1.323 1.276
Tb Al
1 1
direct
0.000 0.000 0.000
0.500 0.500 0.500